La2ScAl: optimized geometry, PBE.

Lattice parameters (Å, degrees): 10.656 10.656 10.656 19.28 19.28 19.28
Positions (direct):
Sc: 0.488 0.488 0.488
Al: 0.755 0.755 0.755
La: 0.011 0.011 0.011
La: 0.246 0.246 0.246

Values from the calculation:
For the density, the calculation gives 5036 kg/m³. The calculation puts the total energy at -4.991 eV per atom.

HoNbN: optimized geometry, PBE.

Lattice parameters (Å, degrees): 3.526 3.526 11.353 81.07 81.07 60.00
Positions (direct):
Nb: 0.697 0.697 0.910
Nb: 0.303 0.303 0.090
Ho: 0.884 0.884 0.347
Ho: 0.116 0.116 0.653
N: 0.756 0.756 0.731
N: 0.244 0.244 0.269

Values from the calculation:
For the density, the calculation gives 7505 kg/m³. As for the uncorrected formation energy: -169 kJ/mol of formula units.

ErScTe: optimized geometry, PBE.

Lattice parameters (Å, degrees): 3.764 3.764 6.033 108.18 108.18 90.00
Positions (direct):
Sc: 0.320 0.320 0.639
Te: 0.680 0.680 0.360
Er: 0.000 0.000 0.001

Values from the calculation:
For the density, the calculation gives 7355 kg/m³. As for the uncorrected formation energy: -212 kJ/mol of formula units. The calculation puts the energy above the most stable polymorph in this dataset at 103 meV/atom.

Ca2YPb3: optimized geometry, PBE.

Lattice parameters (Å, degrees): 5.085 8.089 9.069 90.00 90.00 71.68
Positions (direct):
Ca: 0.000 0.000 0.000
Ca: 0.000 0.000 0.500
Ca: 0.335 0.331 0.500
Ca: 0.665 0.669 0.500
Y: 0.335 0.330 0.000
Y: 0.665 0.670 0.000
Pb: 0.831 0.337 0.754
Pb: 0.500 0.000 0.247
Pb: 0.169 0.663 0.246
Pb: 0.831 0.337 0.246
Pb: 0.169 0.663 0.754
Pb: 0.500 0.000 0.753

Values from the calculation:
For the density, the calculation gives 7415 kg/m³. The calculation puts the total energy at -4.097 eV per atom.

ScZnH2Pt: optimized geometry, PBE.

Lattice parameters (Å, degrees): 3.595 5.768 3.595 90.00 90.00 90.00
Positions (direct):
Sc: 0.000 0.000 0.000
H: 0.000 0.000 0.500
H: 0.500 0.000 0.000
Zn: 0.000 0.500 0.000
Pt: 0.500 0.500 0.500

Values from the calculation:
For the density, the calculation gives 6849 kg/m³. The calculation puts the energy above the most stable polymorph in this dataset at 40 meV/atom.

Li2TaSi: optimized geometry, PBE.

Lattice parameters (Å, degrees): 2.846 4.477 4.841 90.00 90.00 90.00
Positions (direct):
Li: 0.000 0.000 0.000
Li: 0.500 0.500 0.000
Si: 0.500 0.000 0.500
Ta: 0.000 0.500 0.500

Values from the calculation:
For the density, the calculation gives 6002 kg/m³. As for the uncorrected formation energy: -1 kJ/mol of formula units.

LiTb2PaS6: optimized geometry, PBE.

Lattice parameters (Å, degrees): 6.390 6.363 6.363 90.00 90.00 90.00
Positions (direct):
Li: 0.541 0.000 0.000
Tb: 0.990 0.500 0.000
Tb: 0.990 0.000 0.500
Pa: 0.592 0.500 0.500
S: 0.746 0.240 0.240
S: 0.746 0.240 0.760
S: 0.176 0.500 0.500
S: 0.174 0.000 0.000
S: 0.746 0.760 0.760
S: 0.746 0.760 0.240

Values from the calculation:
For the density, the calculation gives 4802 kg/m³. As for the uncorrected formation energy: -1372 kJ/mol of formula units.

InFeS2N: optimized geometry, PBE.

Lattice parameters (Å, degrees): 4.659 4.659 3.416 90.00 90.00 90.00
Positions (direct):
S: 0.000 0.500 0.000
S: 0.500 0.000 0.000
N: 0.000 0.000 0.500
Fe: 0.000 0.000 0.000
In: 0.500 0.500 0.500

Values from the calculation:
For the density, the calculation gives 5572 kg/m³. As for the uncorrected formation energy: 90 kJ/mol of formula units. The calculation puts the energy above the most stable polymorph in this dataset at 0 meV/atom.

Nd2INO: optimized geometry, PBE.

Lattice parameters (Å, degrees): 4.039 6.918 9.194 75.94 77.31 73.03
Positions (direct):
Nd: 0.476 0.767 0.282
Nd: 0.524 0.233 0.718
Nd: 0.851 0.254 0.045
Nd: 0.149 0.746 0.955
I: 0.832 0.713 0.623
I: 0.168 0.287 0.377
N: 0.040 0.097 0.823
N: 0.960 0.903 0.177
O: 0.347 0.375 0.931
O: 0.653 0.625 0.069

Values from the calculation:
For the density, the calculation gives 6287 kg/m³. As for the uncorrected formation energy: -1018 kJ/mol of formula units.

TbPuNpO6: optimized geometry, PBE.

Lattice parameters (Å, degrees): 5.775 5.775 9.386 90.00 90.00 120.00
Positions (direct):
Tb: 0.333 0.667 0.250
Tb: 0.667 0.333 0.750
Pu: 0.000 0.000 0.000
Pu: 0.000 0.000 0.500
Np: 0.667 0.333 0.250
Np: 0.333 0.667 0.750
O: 0.673 0.650 0.132
O: 0.977 0.327 0.132
O: 0.327 0.977 0.632
O: 0.023 0.673 0.868
O: 0.350 0.327 0.368
O: 0.977 0.650 0.368
O: 0.650 0.977 0.868
O: 0.673 0.023 0.368
O: 0.023 0.350 0.632
O: 0.350 0.023 0.132
O: 0.650 0.673 0.632
O: 0.327 0.350 0.868

Values from the calculation:
For the density, the calculation gives 9016 kg/m³. As for the uncorrected formation energy: -2661 kJ/mol of formula units.

Ho3ErHg: optimized geometry, PBE.

Lattice parameters (Å, degrees): 6.632 6.632 8.673 87.84 120.04 113.25
Positions (direct):
Ho: 0.730 0.909 0.140
Ho: 0.230 0.409 0.140
Ho: 0.770 0.591 0.860
Ho: 0.821 0.439 0.260
Ho: 0.270 0.091 0.860
Ho: 0.179 0.561 0.740
Er: 0.679 0.061 0.741
Er: 0.321 0.939 0.259
Hg: 0.749 0.751 0.500
Hg: 0.251 0.249 0.500

Values from the calculation:
For the density, the calculation gives 9638 kg/m³. The calculation puts the total energy at -3.840 eV per atom.

CaEu2As: optimized geometry, PBE.

Lattice parameters (Å, degrees): 4.197 4.197 11.298 79.30 79.30 60.00
Positions (direct):
Eu: 0.116 0.116 0.653
Eu: 0.884 0.884 0.347
As: 0.500 0.500 0.500
Ca: 0.000 0.000 0.000

Values from the calculation:
For the density, the calculation gives 4132 kg/m³. The calculation puts the energy above the most stable polymorph in this dataset at 72 meV/atom.